Record 1
The following is a DFT calculation (SCAN) of a crystal of CaCrRu2 relaxed with PBEsol.

Results
Its density of states at the Fermi level is 2.95 states/eV per cell. The distance to the lowest polymorph of the same formula comes out at 0 meV per atom. The calculation puts the volume at 16.66 Å³/atom. The value obtained for the calculated formation energy is 0.3799 eV/atom. The calculation puts the raw total energy at -24.05 eV per atom. As for the crystal system: monoclinic.

Lattice parameters (Å, degrees): 2.9448 4.9965 4.9457 105.87 90.00 107.14
Element x y z (fractional)
Cr: 0.7137 0.4273 0.1614
Ru: 0.2779 0.5557 0.8390
Ru: 0.0067 0.0133 0.9988
Ca: 0.5018 0.0036 0.5008

***

Record 2
The following is a DFT calculation (SCAN) of a crystal of CaCrRu2 relaxed with PBEsol.

Results
Its density of states at the Fermi level is 1.49 states/eV per cell. The distance to the lowest polymorph of the same formula comes out at 101 meV per atom. The calculation puts the volume at 14.56 Å³/atom. The value obtained for the calculated formation energy is 0.4806 eV/atom. The calculation puts the raw total energy at -23.94 eV per atom. As for the crystal system: cubic.

Lattice parameters (Å, degrees): 4.3510 4.3510 4.3510 60.00 60.00 60.00
Element x y z (fractional)
Ru: 0.7500 0.7500 0.7500
Ru: 0.2500 0.2500 0.2500
Cr: 0.5000 0.5000 0.5000
Ca: 0.0000 0.0000 0.0000

***

Record 3
The following is a DFT calculation (SCAN) of a crystal of CaCrRu2 relaxed with PBEsol.

Results
Its density of states at the Fermi level is 4.24 states/eV per cell. The distance to the lowest polymorph of the same formula comes out at 387 meV per atom. The calculation puts the volume at 14.98 Å³/atom. The value obtained for the calculated formation energy is 0.7670 eV/atom. The calculation puts the raw total energy at -23.66 eV per atom. As for the crystal system: trigonal.

Lattice parameters (Å, degrees): 2.7463 2.7463 9.3066 81.52 81.52 60.00
Element x y z (fractional)
Ca: 0.5004 0.5004 0.4989
Ru: 0.9970 0.9970 0.0091
Ru: 0.7423 0.7423 0.7731
Cr: 0.2604 0.2604 0.2189

***

Record 4
The following is a DFT calculation (SCAN) of a crystal of CaCrRu relaxed with PBEsol.

Results
Its density of states at the Fermi level is 2.05 states/eV per cell. The calculation puts the volume at 20.64 Å³/atom. The value obtained for the calculated formation energy is 0.3034 eV/atom. The calculation puts the raw total energy at -20.65 eV per atom. As for the crystal system: hexagonal.

Lattice parameters (Å, degrees): 3.8613 3.8613 4.7951 90.00 90.00 120.00
Element x y z (fractional)
Ru: 0.6667 0.3333 0.4999
Cr: 0.3333 0.6667 0.5001
Ca: 0.0000 0.0000 0.0001

***

Record 5
The following is a DFT calculation (SCAN) of a crystal of CaCrSb2 relaxed with PBEsol.

Results
Its density of states at the Fermi level is 1.68 states/eV per cell. The calculation puts the volume at 25.13 Å³/atom. The calculation puts the raw total energy at -25.84 eV per atom. The uncorrected formation energy is -198 meV/atom. As for the crystal system: tetragonal.

Lattice parameters (Å, degrees): 3.7479 3.7479 7.1555 90.00 90.00 90.00
Element x y z (fractional)
Ca: 0.0000 0.0000 0.4842
Cr: 0.5000 0.5000 0.8557
Sb: 0.0000 0.0000 0.9207
Sb: 0.5000 0.5000 0.2394

***

Record 6
The following is a DFT calculation (SCAN) of a crystal of CaCr2Sb relaxed with PBEsol.

Results
Its density of states at the Fermi level is 2.98 states/eV per cell. The calculation puts the volume at 22.76 Å³/atom. The calculation puts the raw total energy at -20.48 eV per atom. The uncorrected formation energy is 443 meV/atom. As for the crystal system: trigonal.

Lattice parameters (Å, degrees): 3.3947 3.3947 9.3288 79.52 79.52 60.00
Element x y z (fractional)
Sb: 0.5000 0.5000 0.5000
Cr: 0.2378 0.2378 0.2867
Cr: 0.7622 0.7622 0.7133
Ca: 0.0000 0.0000 0.0000

***

Which of these has the lowest raw total energy?
CaCrSb2

***

raw total energy of number 1 (CaCrRu2)?
-24.05 eV per atom

***

Which value of raw total energy does entry 5 give?
-25.84 eV per atom

***

Look up the raw total energy of the second one.
-23.94 eV per atom